Material: BaLiZr2F11
Method: DFT, PBEsol
State: optimized geometry

## Properties
The uncorrected formation energy comes out at -3743 meV/atom. Its space-group type is I4/m, No. 87. The value obtained for the total moment is 0.0 μB/f.u.

Structure (extended XYZ):
```
30
Lattice="-1.5926 3.8782 6.8739 6.5131 -4.7170 -0.3950 2.3723 4.2501 -6.4137" Properties=species:S:1:pos:R:3 pbc="T T T"
Zr 3.3085 1.2229 4.2338
Zr 3.9843 2.1884 -4.1686
Zr 1.3465 2.7601 1.5679
Zr 5.9464 0.6512 -1.5027
F 6.0731 -3.0889 -1.0809
F 5.0380 0.9375 0.3212
F 0.3899 4.0642 0.2301
F 2.9739 -1.2439 0.9372
F 5.8482 -2.0898 1.5861
F 4.4625 -0.9448 -1.3861
F 0.9568 4.4546 2.8869
F 2.2548 2.4738 -0.2561
F 6.3360 -1.0433 -2.8218
F 1.0180 0.8113 1.2729
F 2.4603 -0.4194 3.2394
F 3.2705 1.9829 2.1883
F 4.8663 0.2517 3.3043
F 1.4446 5.5011 -1.5210
F 2.8304 4.3561 1.4512
F 5.8959 1.3299 -3.5589
F 1.3970 2.0814 3.6240
F 6.2748 2.6000 -1.2078
F 4.0223 1.4284 -2.1232
F 2.4265 3.1597 -3.2392
F 4.3189 4.6552 -0.8721
F 1.2198 6.5002 1.1460
Li 4.6816 -0.5361 1.5372
Li 2.6112 3.9475 -1.4721
Ba 1.7036 -0.0895 -1.3054
Ba 7.1818 -0.3774 -5.5033
```

Material: BaMgF2
Method: DFT, PBEsol
State: optimized geometry

## Properties
The uncorrected formation energy comes out at -2259 meV/atom. Its space-group type is I-42d, No. 122. The value obtained for the energy relative to the lowest polymorph listed for this composition is 4 meV per atom. The value obtained for the total moment is 1.1 μB/f.u.

Structure (extended XYZ):
```
8
Lattice="-1.5360 -1.4758 5.0423 -0.3952 -5.2060 -1.6441 6.4575 2.4756 -0.2794" Properties=species:S:1:pos:R:3 pbc="T T T"
Ba 0.0000 0.0000 0.0000
Ba 2.5484 -3.0356 -0.1122
Mg 1.9780 -1.1705 3.2310
Mg -0.9656 -3.3409 1.6991
F 4.5477 0.3094 -0.0097
F 0.4825 -4.6916 1.0722
F 3.6902 -1.6073 2.1392
F 0.3323 -2.4228 3.0359
```

Material: Ba6Mg7F26
Method: DFT, PBEsol
State: optimized geometry

## Properties
The uncorrected formation energy comes out at -3704 meV/atom. Its space-group type is Immm, No. 71. The value obtained for the total moment is 0.3 μB/f.u.

Structure (extended XYZ):
```
39
Lattice="5.8412 0.0000 0.0000 2.9206 9.6510 -0.0326 2.9206 2.0876 9.4226" Properties=species:S:1:pos:R:3 pbc="T T T"
F 5.8412 1.0474 0.8378
F 4.4807 1.9834 3.3573
F 2.9206 2.7109 5.5626
F 7.2018 3.7109 1.1977
F 4.4807 9.7553 6.0327
F 5.8412 10.6912 8.5522
F 7.2018 8.0277 8.1923
F 8.7619 5.7165 7.9669
F 7.3036 5.0226 5.7535
F 8.7619 9.0278 3.8274
F 2.9206 1.0499 0.8398
F 2.9206 6.0222 1.4231
F 7.2018 1.9834 3.3573
F 7.3036 6.7160 3.6366
F 5.8412 7.4051 5.9235
F 5.8412 4.3335 3.4665
F 4.4807 3.7109 1.1977
F 4.4807 8.0277 8.1923
F 8.7619 10.6887 8.5502
F 7.2530 8.4098 1.5191
F 7.2530 3.3288 7.8710
F 4.4295 8.4098 1.5191
F 4.3789 5.0226 5.7535
F 7.2018 9.7553 6.0327
F 4.4295 3.3288 7.8710
F 4.3789 6.7160 3.6366
Mg 5.8412 9.1383 7.3100
Mg 2.9206 4.1153 6.8878
Mg 5.8412 5.8693 4.6950
Mg 4.3593 0.0000 0.0000
Mg 2.9206 7.6234 2.5023
Mg 1.4820 0.0000 0.0000
Mg 5.8412 2.6003 2.0801
Ba 2.9206 4.1416 3.3130
Ba 5.8412 2.1491 5.7554
Ba 5.8412 5.6518 8.5573
Ba 5.8412 9.5895 3.6346
Ba 8.7619 7.5970 6.0770
Ba 5.8412 6.0869 0.8327
```

Material: Ba2MgF
Method: DFT, PBEsol
State: optimized geometry

## Properties
The uncorrected formation energy comes out at -1290 meV/atom. Its space-group type is I-42d, No. 122. The value obtained for the total moment is 0.0 μB/f.u.

Structure (extended XYZ):
```
8
Lattice="-6.4834 -0.8131 -3.2638 4.9654 -4.7698 -2.4376 -0.3042 -1.3350 7.1745" Properties=species:S:1:pos:R:3 pbc="T T T"
Mg 0.4063 -4.3176 -1.6665
Mg 0.0000 0.0000 0.0000
F -2.2285 -2.6003 3.1395
F 2.3306 -3.0524 2.3684
Ba -3.2625 -3.3892 -3.3064
Ba 0.2750 -2.0026 3.5953
Ba 1.5322 -5.5282 2.1122
Ba -2.1891 -2.9159 0.5450
```

Q: Among the records above, which one has the highest total moment?
A: BaMgF2